# RbAgIO4 | Alexandria | PBE | optimized geometry
data_RbAgIO4
_cell_length_a 6.6925
_cell_length_b 6.6925
_cell_length_c 6.6925
_cell_angle_alpha 60.00
_cell_angle_beta 60.00
_cell_angle_gamma 60.00
_space_group_name_H-M_alt 'P 1'
_space_group_IT_number 1
_space_group_name_Hall 'P 1'
loop_
_atom_site_label
_atom_site_fract_x
_atom_site_fract_y
_atom_site_fract_z
_atom_site_occupancy
Rb1 0.0000 0.0000 0.0000 1
Ag1 0.2500 0.2500 0.2500 1
I1 0.5000 0.5000 0.5000 1
O1 0.3851 0.3851 0.3851 1
O2 0.3851 0.3851 0.8446 1
O3 0.3851 0.8446 0.3851 1
O4 0.8446 0.3851 0.3851 1
# - symmetry = No. 216

# Rb2AgI6O | Alexandria | PBE | optimized geometry
data_Rb2AgI6O
_cell_length_a 7.9396
_cell_length_b 7.9396
_cell_length_c 7.9396
_cell_angle_alpha 117.01
_cell_angle_beta 117.01
_cell_angle_gamma 95.25
_space_group_name_H-M_alt 'P 1'
_space_group_IT_number 1
_space_group_name_Hall 'P 1'
loop_
_atom_site_label
_atom_site_fract_x
_atom_site_fract_y
_atom_site_fract_z
_atom_site_occupancy
Rb1 0.2500 0.7500 0.5000 1
Rb2 0.7500 0.2500 0.5000 1
Ag1 0.0000 0.0000 0.0000 1
I1 0.2357 0.2357 0.4714 1
I2 0.2357 0.7643 0.0000 1
I3 0.2904 0.2904 0.0000 1
I4 0.7096 0.7096 0.0000 1
I5 0.7643 0.2357 0.0000 1
I6 0.7643 0.7643 0.5286 1
O1 0.5000 0.5000 0.0000 1
# - symmetry = No. 139

# Rb2AgIO4 | Alexandria | PBE | optimized geometry
data_Rb2AgIO4
_cell_length_a 6.1645
_cell_length_b 6.1645
_cell_length_c 6.1645
_cell_angle_alpha 116.07
_cell_angle_beta 116.07
_cell_angle_gamma 96.95
_space_group_name_H-M_alt 'P 1'
_space_group_IT_number 1
_space_group_name_Hall 'P 1'
loop_
_atom_site_label
_atom_site_fract_x
_atom_site_fract_y
_atom_site_fract_z
_atom_site_occupancy
Rb1 0.0000 0.0000 0.0000 1
Rb2 0.7500 0.2500 0.5000 1
Ag1 0.5000 0.5000 0.0000 1
I1 0.2500 0.7500 0.5000 1
O1 0.2272 0.0869 0.5569 1
O2 0.3297 0.7728 0.8598 1
O3 0.5300 0.6703 0.4431 1
O4 0.9131 0.4700 0.1402 1
# - symmetry = No. 82

# Rb2AgIO | Alexandria | PBE | optimized geometry
data_Rb2AgIO
_cell_length_a 6.0937
_cell_length_b 6.0937
_cell_length_c 4.2015
_cell_angle_alpha 90.00
_cell_angle_beta 90.00
_cell_angle_gamma 90.00
_space_group_name_H-M_alt 'P 1'
_space_group_IT_number 1
_space_group_name_Hall 'P 1'
loop_
_atom_site_label
_atom_site_fract_x
_atom_site_fract_y
_atom_site_fract_z
_atom_site_occupancy
Rb1 0.0000 0.5000 0.0000 1
Rb2 0.5000 0.0000 0.0000 1
Ag1 0.0000 0.0000 0.5000 1
I1 0.5000 0.5000 0.5000 1
O1 0.0000 0.0000 0.0000 1
# - symmetry = No. 123

# ReAgIO2 | Alexandria | PBE | optimized geometry
data_ReAgIO2
_cell_length_a 3.8913
_cell_length_b 3.8913
_cell_length_c 6.0375
_cell_angle_alpha 90.00
_cell_angle_beta 90.00
_cell_angle_gamma 90.00
_space_group_name_H-M_alt 'P 1'
_space_group_IT_number 1
_space_group_name_Hall 'P 1'
loop_
_atom_site_label
_atom_site_fract_x
_atom_site_fract_y
_atom_site_fract_z
_atom_site_occupancy
Re1 0.0000 0.0000 0.0000 1
Ag1 0.5000 0.5000 0.5000 1
I1 0.0000 0.0000 0.5000 1
O1 0.0000 0.5000 0.0000 1
O2 0.5000 0.0000 0.0000 1
# - polymorph energy (0 for the lowest one) (meV per atom) = 0
# - symmetry = No. 123

# ReAgI2O | Alexandria | PBE | optimized geometry
data_ReAgI2O
_cell_length_a 5.6279
_cell_length_b 5.6279
_cell_length_c 3.7710
_cell_angle_alpha 90.00
_cell_angle_beta 90.00
_cell_angle_gamma 90.00
_space_group_name_H-M_alt 'P 1'
_space_group_IT_number 1
_space_group_name_Hall 'P 1'
loop_
_atom_site_label
_atom_site_fract_x
_atom_site_fract_y
_atom_site_fract_z
_atom_site_occupancy
Re1 0.0000 0.0000 0.0000 1
Ag1 0.5000 0.5000 0.5000 1
I1 0.0000 0.5000 0.0000 1
I2 0.5000 0.0000 0.0000 1
O1 0.0000 0.0000 0.5000 1
# - polymorph energy (0 for the lowest one) (meV per atom) = 0
# - symmetry = No. 123

# ReAgIO2 | Alexandria | PBE | optimized geometry
data_ReAgIO2
_cell_length_a 4.0123
_cell_length_b 4.0123
_cell_length_c 5.5419
_cell_angle_alpha 90.00
_cell_angle_beta 90.00
_cell_angle_gamma 90.00
_space_group_name_H-M_alt 'P 1'
_space_group_IT_number 1
_space_group_name_Hall 'P 1'
loop_
_atom_site_label
_atom_site_fract_x
_atom_site_fract_y
_atom_site_fract_z
_atom_site_occupancy
Re1 0.0000 0.0000 0.0000 1
Ag1 0.5000 0.5000 0.0000 1
I1 0.0000 0.0000 0.5000 1
O1 0.0000 0.5000 0.5000 1
O2 0.5000 0.0000 0.5000 1
# - polymorph energy (0 for the lowest one) (meV per atom) = 1574
# - symmetry = No. 123

# ReAgI2O | Alexandria | PBE | optimized geometry
data_ReAgI2O
_cell_length_a 5.7488
_cell_length_b 5.7488
_cell_length_c 4.0081
_cell_angle_alpha 90.00
_cell_angle_beta 90.00
_cell_angle_gamma 90.00
_space_group_name_H-M_alt 'P 1'
_space_group_IT_number 1
_space_group_name_Hall 'P 1'
loop_
_atom_site_label
_atom_site_fract_x
_atom_site_fract_y
_atom_site_fract_z
_atom_site_occupancy
Re1 0.0000 0.0000 0.0000 1
Ag1 0.5000 0.5000 0.5000 1
I1 0.0000 0.5000 0.5000 1
I2 0.5000 0.0000 0.5000 1
O1 0.5000 0.5000 0.0000 1
# - polymorph energy (0 for the lowest one) (meV per atom) = 1321
# - symmetry = No. 123

# ReAgIO2 | Alexandria | PBE | optimized geometry
data_ReAgIO2
_cell_length_a 4.0426
_cell_length_b 4.0426
_cell_length_c 6.2527
_cell_angle_alpha 90.00
_cell_angle_beta 90.00
_cell_angle_gamma 90.00
_space_group_name_H-M_alt 'P 1'
_space_group_IT_number 1
_space_group_name_Hall 'P 1'
loop_
_atom_site_label
_atom_site_fract_x
_atom_site_fract_y
_atom_site_fract_z
_atom_site_occupancy
Re1 0.0000 0.0000 0.0000 1
Ag1 0.5000 0.5000 0.5000 1
I1 0.5000 0.5000 0.0000 1
O1 0.0000 0.5000 0.5000 1
O2 0.5000 0.0000 0.5000 1
# - polymorph energy (0 for the lowest one) (meV per atom) = 1849
# - symmetry = No. 123

# AgRhI2O | Alexandria | PBE | optimized geometry
data_AgRhI2O
_cell_length_a 5.6742
_cell_length_b 5.6742
_cell_length_c 3.7527
_cell_angle_alpha 90.00
_cell_angle_beta 90.00
_cell_angle_gamma 90.00
_space_group_name_H-M_alt 'P 1'
_space_group_IT_number 1
_space_group_name_Hall 'P 1'
loop_
_atom_site_label
_atom_site_fract_x
_atom_site_fract_y
_atom_site_fract_z
_atom_site_occupancy
Ag1 0.0000 0.0000 0.0000 1
Rh1 0.5000 0.5000 0.5000 1
I1 0.0000 0.5000 0.5000 1
I2 0.5000 0.0000 0.5000 1
O1 0.5000 0.5000 0.0000 1
# - polymorph energy (0 for the lowest one) (meV per atom) = 0
# - symmetry = No. 123

# AgRhIO6 | Alexandria | PBE | optimized geometry
data_AgRhIO6
_cell_length_a 5.2498
_cell_length_b 5.2498
_cell_length_c 10.0137
_cell_angle_alpha 90.00
_cell_angle_beta 90.00
_cell_angle_gamma 120.00
_space_group_name_H-M_alt 'P 1'
_space_group_IT_number 1
_space_group_name_Hall 'P 1'
loop_
_atom_site_label
_atom_site_fract_x
_atom_site_fract_y
_atom_site_fract_z
_atom_site_occupancy
Ag1 0.0000 0.0000 0.0000 1
Ag2 0.0000 0.0000 0.5000 1
Rh1 0.3333 0.6667 0.2500 1
Rh2 0.6667 0.3333 0.7500 1
I1 0.3333 0.6667 0.7500 1
I2 0.6667 0.3333 0.2500 1
O1 0.0078 0.3753 0.6406 1
O2 0.0078 0.6325 0.8594 1
O3 0.3675 0.3753 0.8594 1
O4 0.3675 0.9922 0.6406 1
O5 0.3753 0.0078 0.1406 1
O6 0.3753 0.3675 0.3594 1
O7 0.6247 0.6325 0.6406 1
O8 0.6247 0.9922 0.8594 1
O9 0.6325 0.0078 0.3594 1
O10 0.6325 0.6247 0.1406 1
O11 0.9922 0.3675 0.1406 1
O12 0.9922 0.6247 0.3594 1
# - symmetry = No. 163

# AgRhI2O | Alexandria | PBE | optimized geometry
data_AgRhI2O
_cell_length_a 5.6743
_cell_length_b 5.6743
_cell_length_c 3.9635
_cell_angle_alpha 90.00
_cell_angle_beta 90.00
_cell_angle_gamma 90.00
_space_group_name_H-M_alt 'P 1'
_space_group_IT_number 1
_space_group_name_Hall 'P 1'
loop_
_atom_site_label
_atom_site_fract_x
_atom_site_fract_y
_atom_site_fract_z
_atom_site_occupancy
Ag1 0.0000 0.0000 0.0000 1
Rh1 0.5000 0.5000 0.5000 1
I1 0.0000 0.5000 0.0000 1
I2 0.5000 0.0000 0.0000 1
O1 0.0000 0.0000 0.5000 1
# - polymorph energy (0 for the lowest one) (meV per atom) = 828
# - symmetry = No. 123

Energy relative to the elements, uncorrected (eV per formula unit)
-3.0 -4.7 -5.6 -4.9 -2.7 -0.1 5.2 6.5 6.6 -0.4 -3.3 3.8